# 1
First-principles (PBE) data for a relaxed structure of Nd2SmHo2, as listed in Alexandria via LeMat-Bulk.

Results
spin magnetization: 0.00 μB per atom
relative energy among the computed polymorphs: 0.273 eV/atom
formation enthalpy at 0 K: 0.2779 eV per atom
uncorrected energy: -44.042 eV/cell

Cell: 8.200 8.200 6.095 Å, 102.92 102.92 110.79°
Element x y z (fractional)
Nd 0.109 0.258 0.382
Nd 0.258 0.109 0.882
Nd 0.742 0.891 0.118
Nd 0.891 0.742 0.618
Sm 0.434 0.566 0.250
Sm 0.566 0.434 0.750
Ho 0.170 0.830 0.250
Ho 0.302 0.698 0.750
Ho 0.698 0.302 0.250
Ho 0.830 0.170 0.750

***

# 2
First-principles (PBE) data for a relaxed structure of NaMgH6Ir, as listed in Alexandria via LeMat-Bulk.

Results
spin magnetization: 0.00 μB per atom
uncorrected energy: -34.934 eV/cell

Cell: 4.729 4.729 4.985 Å, 90.00 90.00 120.00°
Element x y z (fractional)
Na 0.000 0.000 0.000
Mg 0.333 0.667 0.500
H 0.390 0.060 0.711
H 0.390 0.330 0.289
H 0.670 0.060 0.289
H 0.670 0.610 0.711
H 0.940 0.330 0.711
H 0.940 0.610 0.289
Ir 0.667 0.333 0.500

***

# 3
First-principles (PBE) data for a relaxed structure of ZnSiO3, as listed in Alexandria via LeMat-Bulk.

Results
spin magnetization: 0.00 μB per atom
raw formation energy: -2.100 eV per atom
uncorrected energy: -128.288 eV/cell

Cell: 5.467 9.458 4.371 Å, 90.00 90.00 90.00°
Element x y z (fractional)
Zn 0.000 0.000 0.000
Zn 0.000 0.500 0.000
Zn 0.500 0.000 0.500
Zn 0.500 0.500 0.500
Si 0.192 0.250 0.469
Si 0.308 0.750 0.969
Si 0.692 0.250 0.031
Si 0.808 0.750 0.531
O 0.047 0.750 0.765
O 0.204 0.101 0.653
O 0.204 0.399 0.653
O 0.296 0.601 0.153
O 0.296 0.899 0.153
O 0.453 0.250 0.265
O 0.547 0.750 0.735
O 0.704 0.101 0.847
O 0.704 0.399 0.847
O 0.796 0.601 0.347
O 0.796 0.899 0.347
O 0.953 0.250 0.235

***

# 4
First-principles (PBE) data for a relaxed structure of PrAl2Zn9, as listed in Alexandria via LeMat-Bulk.

Results
spin magnetization: 0.00 μB per atom
relative energy among the computed polymorphs: 0.156 eV/atom
formation enthalpy at 0 K: -0.0167 eV per atom
uncorrected energy: -23.931 eV/cell

Cell: 8.662 8.662 3.300 Å, 90.00 90.00 120.00°
Element x y z (fractional)
Pr 0.000 0.000 0.000
Al 0.333 0.667 0.000
Al 0.667 0.333 0.000
Zn 0.000 0.500 0.000
Zn 0.186 0.371 0.500
Zn 0.186 0.814 0.500
Zn 0.371 0.186 0.500
Zn 0.500 0.000 0.000
Zn 0.500 0.500 0.000
Zn 0.629 0.814 0.500
Zn 0.814 0.186 0.500
Zn 0.814 0.629 0.500

***

# 5
First-principles (PBE) data for a relaxed structure of LaY12Th5, as listed in Alexandria via LeMat-Bulk.

Results
spin magnetization: 0.00 μB per atom
formation enthalpy at 0 K: 0.0095 eV per atom
uncorrected energy: -119.424 eV/cell

Cell: 6.245 6.245 17.419 Å, 93.38 93.38 120.03°
Element x y z (fractional)
La 0.000 0.000 0.000
Y 0.054 0.392 0.165
Y 0.112 0.112 0.335
Y 0.221 0.555 0.664
Y 0.285 0.285 0.835
Y 0.392 0.054 0.165
Y 0.445 0.779 0.336
Y 0.555 0.221 0.664
Y 0.608 0.946 0.835
Y 0.715 0.715 0.165
Y 0.779 0.445 0.336
Y 0.888 0.888 0.665
Y 0.946 0.608 0.835
Th 0.166 0.834 0.500
Th 0.333 0.667 0.000
Th 0.500 0.500 0.500
Th 0.667 0.333 0.000
Th 0.834 0.166 0.500

***

# 6
First-principles (PBE) data for a relaxed structure of Sb2TePPd, as listed in Alexandria via LeMat-Bulk.

Results
spin magnetization: 0.00 μB per atom
relative energy among the computed polymorphs: 0.000 eV/atom
raw formation energy: 0.703 eV per atom
uncorrected energy: -18.476 eV/cell

Cell: 5.119 5.119 5.366 Å, 90.00 90.00 90.00°
Element x y z (fractional)
Sb 0.000 0.500 0.000
Sb 0.500 0.000 0.000
Te 0.000 0.000 0.500
P 0.500 0.500 0.500
Pd 0.000 0.000 0.000

***

# 7
First-principles (PBE) data for a relaxed structure of Ca2LaCl, as listed in Alexandria via LeMat-Bulk.

Results
spin magnetization: 0.00 μB per atom
relative energy among the computed polymorphs: 0.528 eV/atom
raw formation energy: -0.282 eV per atom
uncorrected energy: -11.904 eV/cell

Cell: 6.236 6.236 3.762 Å, 90.00 90.00 90.00°
Element x y z (fractional)
Ca 0.000 0.500 0.000
Ca 0.500 0.000 0.000
La 0.000 0.000 0.500
Cl 0.500 0.500 0.500

***

# 8
First-principles (PBE) data for a relaxed structure of KIn2SeO, as listed in Alexandria via LeMat-Bulk.

Results
spin magnetization: 0.00 μB per atom
raw formation energy: -0.015 eV per atom
uncorrected energy: -15.091 eV/cell

Cell: 6.047 6.047 4.016 Å, 90.00 90.00 90.00°
Element x y z (fractional)
K 0.000 0.000 0.000
In 0.000 0.500 0.500
In 0.500 0.000 0.500
Se 0.500 0.500 0.500
O 0.500 0.500 0.000

***

# 9
First-principles (PBE) data for a relaxed structure of Er2Cu3Ni4, as listed in Alexandria via LeMat-Bulk.

Results
spin magnetization: 0.00 μB per atom
formation enthalpy at 0 K: -0.2971 eV per atom
uncorrected energy: -47.213 eV/cell

Cell: 7.598 6.665 4.981 Å, 80.03 59.75 40.21°
Element x y z (fractional)
Er 0.145 0.145 0.855
Er 0.855 0.855 0.145
Cu 0.000 0.000 0.500
Cu 0.500 0.500 0.000
Cu 0.500 0.500 0.500
Ni 0.157 0.504 0.496
Ni 0.496 0.843 0.157
Ni 0.504 0.157 0.843
Ni 0.843 0.496 0.504

***

# 10
First-principles (PBE) data for a relaxed structure of In2RhPb, as listed in Alexandria via LeMat-Bulk.

Results
spin magnetization: 0.00 μB per atom
formation enthalpy at 0 K: -0.1104 eV per atom
uncorrected energy: -16.978 eV/cell

Cell: 3.239 3.239 8.712 Å, 90.00 90.00 90.00°
Element x y z (fractional)
In 0.000 0.000 0.191
In 0.000 0.000 0.809
Rh 0.500 0.500 0.000
Pb 0.500 0.500 0.500

***

# 11
First-principles (PBE) data for a relaxed structure of Ac2HoSb4Pd3, as listed in Alexandria via LeMat-Bulk.

Results
spin magnetization: 0.00 μB per atom
raw formation energy: -0.890 eV per atom
uncorrected energy: -53.759 eV/cell

Cell: 4.710 4.710 11.771 Å, 90.00 90.00 90.00°
Element x y z (fractional)
Ac 0.000 0.500 0.227
Ac 0.500 0.000 0.773
Ho 0.000 0.000 0.500
Sb 0.000 0.000 0.000
Sb 0.000 0.500 0.652
Sb 0.500 0.000 0.348
Sb 0.500 0.500 0.000
Pd 0.000 0.500 0.879
Pd 0.500 0.000 0.121
Pd 0.500 0.500 0.500

***

# 12
First-principles (PBE) data for a relaxed structure of Ce2PmY3Er6, as listed in Alexandria via LeMat-Bulk.

Results
spin magnetization: 0.15 μB per atom
formation enthalpy at 0 K: 0.0518 eV per atom
uncorrected energy: -62.766 eV/cell

Cell: 6.127 6.127 11.703 Å, 95.01 95.01 119.99°
Element x y z (fractional)
Ce 0.167 0.833 0.000
Ce 0.833 0.167 0.000
Pm 0.500 0.500 0.000
Y 0.000 0.000 0.500
Y 0.334 0.666 0.500
Y 0.666 0.334 0.500
Er 0.080 0.417 0.751
Er 0.247 0.247 0.249
Er 0.417 0.080 0.751
Er 0.583 0.920 0.249
Er 0.753 0.753 0.751
Er 0.920 0.583 0.249